A plane-wave DFT calculation with PBE was carried out for a relaxed Li6CuNi2 crystal.

abc: 2.6923 7.5720 7.5720
angles: 125.93 85.64 85.64
Last column: nearest neighbours and their distance in Å.
Sites, in units of the cell vectors:
Ni1 0.5000 0.8472 0.1528  2 Cu 2.46, 6 Li 2.54-2.69, 2 Ni 2.69
Ni2 0.5000 0.1528 0.8472  2 Cu 2.46, 6 Li 2.54-2.69, 2 Ni 2.69
Li1 0.6488 0.6917 0.6917  2 Cu 2.46-2.51, 6 Li 2.69-2.75
Li2 0.1759 0.5007 0.8516  1 Li 2.38, 2 Ni 2.54-2.65
Li3 0.3512 0.3083 0.3083  2 Cu 2.46-2.51, 6 Li 2.69-2.75
Li4 0.8241 0.1484 0.4993  1 Li 2.38, 2 Ni 2.54-2.65
Li5 0.8241 0.4993 0.1484  1 Li 2.38, 2 Ni 2.54-2.65
Li6 0.1759 0.8516 0.5007  1 Li 2.38, 2 Ni 2.54-2.65
Cu1 0.0000 0.0000 0.0000  4 Ni 2.46, 4 Li 2.46-2.51, 2 Cu 2.69

- Formation enthalpy at 0 K: 0.047 eV/atom
- Total moment: 0.000 μB/cell



A plane-wave DFT calculation with PBE was carried out for a relaxed ZrBeCl2 crystal.

abc: 3.1289 3.1289 9.7713
angles: 90.00 90.00 90.00
Last column: nearest neighbours and their distance in Å.
Sites, in units of the cell vectors:
Be1 0.5000 0.5000 0.7500  4 Be 3.13
Cl1 0.0000 0.0000 0.4118  4 Zr 2.72
Cl2 0.0000 0.0000 0.0882  4 Zr 2.72
Zr1 0.5000 0.5000 0.2500  8 Cl 2.72

- Formation energy (no corrections): -1.05 eV/f.u.
- Total moment: 0.001 μB/cell



In the order shown, the computed energy above the most stable polymorph in this dataset values come out to 0 540 meV per atom.